No. 1
Compound: KSrTa
Source: Alexandria via LeMat-Bulk
Functional: GGA-PBE
Structure: optimized geometry

Cell: 4.816 16.577 3.580 Å, 95.23 68.62 89.38°
Positions (direct):
K  0.023  0.263  0.328
Sr  0.543  0.037  0.521
Ta  0.009  0.896  0.730
Ta  0.458  0.865  0.992
Sr  0.923  0.724  0.201
K  0.472  0.498  0.636

Properties
excess energy over the best structure of this formula in the dataset: 156.5 meV per atom
symmetry: P1 (1)
E_form: 557 meV/atom
electronic total energy: -4.321 eV per atom

No. 2
Compound: Na2CoPt2
Source: Alexandria via LeMat-Bulk
Functional: GGA-PBE
Structure: optimized geometry

Cell: 6.316 6.316 4.816 Å, 90.00 90.00 90.00°
Each line ends with the local moment (μB).
Positions (direct):
Na  0.828  0.328  0.500  -0.01
Na  0.328  0.172  0.500  -0.01
Co  0.500  0.500  0.000  1.94
Na  0.172  0.672  0.500  -0.01
Pt  0.143  0.357  0.000  0.31
Pt  0.857  0.643  0.000  0.31
Co  0.000  0.000  0.000  1.94
Pt  0.643  0.143  0.000  0.31
Pt  0.357  0.857  0.000  0.31
Na  0.672  0.828  0.500  -0.01

Properties
symmetry: P4/mbm (127)
E_form: 34 meV/atom
electronic total energy: -4.331 eV per atom

No. 3
Compound: CeEuTmSc
Source: Alexandria via LeMat-Bulk
Functional: GGA-PBE
Structure: optimized geometry

Cell: 5.591 5.591 5.591 Å, 60.00 60.00 60.00°
Each line ends with the local moment (μB).
Positions (direct):
Tm  0.500  0.500  0.500  0.05
Eu  0.250  0.250  0.250  6.82
Sc  0.000  0.000  0.000  0.02
Ce  0.750  0.750  0.750  0.64

Properties
symmetry: F-43m (216)
E_form: 218 meV/atom
electronic total energy: -6.535 eV per atom

No. 4
Compound: Be2NiRu
Source: Alexandria via LeMat-Bulk
Functional: GGA-PBE
Structure: optimized geometry

Cell: 4.442 4.442 4.007 Å, 71.14 71.14 33.52°
Positions (direct):
Ni  0.509  0.509  0.430
Ru  0.746  0.746  0.812
Be  0.990  0.990  0.953
Be  0.256  0.256  0.305

Properties
symmetry: Cm (8)
E_form: -208 meV/atom
electronic total energy: -5.836 eV per atom

No. 5
Compound: Mg5TlPb6
Source: Alexandria via LeMat-Bulk
Functional: GGA-PBE
Structure: optimized geometry

Cell: 5.617 8.881 10.053 Å, 123.97 116.19 96.82°
Positions (direct):
Mg  0.023  0.662  0.333
Mg  0.977  0.338  0.667
Mg  0.500  0.500  0.500
Pb  0.762  0.918  0.571
Pb  0.273  0.429  0.081
Tl  0.000  0.000  0.000
Mg  0.482  0.841  0.163
Pb  0.760  0.263  0.263
Pb  0.238  0.082  0.429
Pb  0.727  0.571  0.919
Pb  0.240  0.737  0.737
Mg  0.518  0.159  0.837

Properties
excess energy over the best structure of this formula in the dataset: 0.0 meV per atom
symmetry: P-1 (2)
E_form: -33 meV/atom
electronic total energy: -2.749 eV per atom

No. 6
Compound: La2YTcP
Source: Alexandria via LeMat-Bulk
Functional: GGA-PBE
Structure: optimized geometry

Cell: 5.788 4.663 5.788 Å, 90.00 90.00 90.00°
Positions (direct):
Y  0.000  0.000  0.000
Tc  0.000  0.500  0.000
P  0.500  0.500  0.500
La  0.500  0.000  0.000
La  0.000  0.000  0.500

Properties
symmetry: P4/mmm (123)
E_form: 1044 meV/atom
electronic total energy: -5.374 eV per atom

No. 7
Compound: CuBN3
Source: Alexandria via LeMat-Bulk
Functional: GGA-PBE
Structure: optimized geometry

Cell: 3.684 3.684 3.684 Å, 90.00 90.00 90.00°
Positions (direct):
N  0.500  0.000  0.000
Cu  0.000  0.000  0.000
B  0.500  0.500  0.500
N  0.000  0.000  0.500
N  0.000  0.500  0.000

Properties
symmetry: Pm-3m (221)
uncorrected formation energy: 3.0091 eV/atom
electronic total energy: -4.141 eV per atom

No. 8
Compound: Mn2VGaN
Source: Alexandria via LeMat-Bulk
Functional: GGA-PBE
Structure: optimized geometry

Cell: 3.802 3.802 3.918 Å, 90.00 90.00 90.00°
Each line ends with the local moment (μB).
Positions (direct):
V  0.000  0.000  0.500  -0.48
Ga  0.500  0.500  0.500  -0.05
Mn  0.000  0.500  0.000  1.24
N  0.000  0.000  0.000  -0.04
Mn  0.500  0.000  0.000  1.24

Properties
symmetry: P4/mmm (123)
uncorrected formation energy: -0.3863 eV/atom
electronic total energy: -8.148 eV per atom

No. 9
Compound: Sm2Ga8Ni
Source: Alexandria via LeMat-Bulk
Functional: GGA-PBE
Structure: optimized geometry

Cell: 4.302 4.302 11.240 Å, 90.00 90.00 90.00°
Positions (direct):
Ga  0.000  0.500  0.500
Ga  0.500  0.000  0.500
Ga  0.500  0.000  0.883
Ga  0.000  0.500  0.883
Ga  0.500  0.500  0.306
Ni  0.000  0.000  0.000
Ga  0.000  0.500  0.117
Sm  0.000  0.000  0.695
Sm  0.000  0.000  0.305
Ga  0.500  0.500  0.694
Ga  0.500  0.000  0.117

Properties
symmetry: P4/mmm (123)
E_form: -491 meV/atom
electronic total energy: -4.076 eV per atom

No. 10
Compound: LiPr4Nd
Source: Alexandria via LeMat-Bulk
Functional: GGA-PBE
Structure: optimized geometry

Cell: 3.708 3.708 14.669 Å, 90.04 90.04 90.01°
Positions (direct):
Pr  0.500  0.000  0.356
Pr  0.000  0.500  0.821
Pr  0.000  0.500  0.179
Nd  0.500  0.000  0.000
Pr  0.500  0.000  0.644
Li  0.000  0.500  0.500

Properties
symmetry: C2/m (12)
E_form: 42 meV/atom
electronic total energy: -4.258 eV per atom

No. 11
Compound: Sr3Sn2Pd4
Source: Alexandria via LeMat-Bulk
Functional: GGA-PBE
Structure: optimized geometry

Cell: 4.604 6.032 9.098 Å, 98.90 90.00 112.43°
Positions (direct):
Pd  0.913  0.827  0.366
Sn  0.320  0.641  0.219
Sr  0.376  0.752  0.615
Pd  0.732  0.465  0.086
Pd  0.268  0.535  0.914
Sn  0.680  0.359  0.781
Sr  0.000  0.000  0.000
Pd  0.087  0.173  0.634
Sr  0.624  0.248  0.385

Properties
symmetry: C2/m (12)
E_form: -721 meV/atom
electronic total energy: -4.479 eV per atom

No. 12
Compound: Ni2HgAu
Source: Alexandria via LeMat-Bulk
Functional: GGA-PBE
Structure: optimized geometry

Cell: 3.272 4.288 4.288 Å, 90.00 90.00 90.00°
Positions (direct):
Ni  0.000  0.500  0.000
Hg  0.500  0.500  0.500
Ni  0.000  0.000  0.500
Au  0.500  0.000  0.000

Properties
symmetry: P4/mmm (123)
E_form: 147 meV/atom
electronic total energy: -3.638 eV per atom

- electronic total energy of number 5 (Mg5TlPb6)?
  -2.749 eV per atom

What did the eleventh record say?
Compound: Sr3Sn2Pd4
Source: Alexandria via LeMat-Bulk
Functional: GGA-PBE
Structure: optimized geometry

Cell: 4.604 6.032 9.098 Å, 98.90 90.00 112.43°
Positions (direct):
Pd  0.913  0.827  0.366
Sn  0.320  0.641  0.219
Sr  0.376  0.752  0.615
Pd  0.732  0.465  0.086
Pd  0.268  0.535  0.914
Sn  0.680  0.359  0.781
Sr  0.000  0.000  0.000
Pd  0.087  0.173  0.634
Sr  0.624  0.248  0.385

Properties
symmetry: C2/m (12)
E_form: -721 meV/atom
electronic total energy: -4.479 eV per atom